A plane-wave DFT calculation with PBE-GGA was carried out for an optimized crystal structure of ZrPd3I.

Unit cell a=5.037 b=5.037 c=5.037 alpha=90.00 beta=90.00 gamma=90.00
Element x y z (fractional)
I1 0.500 0.500 0.500
Zr1 0.000 0.000 0.000
Pd1 0.000 0.500 0.000
Pd2 0.500 0.000 0.000
Pd3 0.000 0.000 0.500

## Properties
- formation energy without anion corrections (meV/atom) = 613
- ΔE to the lowest computed polymorph (eV per atom) = 0.000
- symmetry = No. 221
- total DFT energy (no corrections) (eV per atom) = -4.52

***

A plane-wave DFT calculation with PBE-GGA was carried out for an optimized crystal structure of MnIn3Se4.

Unit cell a=6.530 b=6.530 c=7.550 alpha=115.62 beta=115.62 gamma=90.00
Element x y z (fractional)
Se1 0.659 0.095 0.753
Se2 0.341 0.341 0.247
In1 0.250 0.750 0.500
In2 0.750 0.250 0.500
Mn1 0.000 0.000 0.000
Se3 0.095 0.659 0.753
In3 0.500 0.500 0.000
Se4 0.905 0.905 0.247

## Properties
- formation energy without anion corrections (meV/atom) = -343
- symmetry = No. 121
- total DFT energy (no corrections) (eV per atom) = -4.26

***

A plane-wave DFT calculation with PBE-GGA was carried out for an optimized crystal structure of Tb2CeHoTl4.

Unit cell a=5.404 b=5.404 c=9.421 alpha=73.33 beta=73.33 gamma=60.00
Element x y z (fractional)
Tl1 0.374 0.374 0.879
Tl2 0.877 0.877 0.370
Tb1 0.251 0.251 0.247
Ho1 0.000 0.000 0.000
Tl3 0.626 0.626 0.121
Tb2 0.749 0.749 0.753
Tl4 0.123 0.123 0.630
Ce1 0.500 0.500 0.500

## Properties
- energy of formation (eV per formula unit) = -2.46
- symmetry = No. 166
- total DFT energy (no corrections) (eV per atom) = -3.96

***

A plane-wave DFT calculation with PBE-GGA was carried out for an optimized crystal structure of Na2Mg2Pb.

Unit cell a=8.462 b=8.462 c=3.928 alpha=90.00 beta=90.00 gamma=90.00
Element x y z (fractional)
Na1 0.860 0.640 0.000
Na2 0.360 0.860 0.000
Na3 0.140 0.360 0.000
Pb1 0.500 0.500 0.000
Na4 0.640 0.140 0.000
Mg1 0.658 0.842 0.500
Mg2 0.342 0.158 0.500
Mg3 0.158 0.658 0.500
Mg4 0.842 0.342 0.500
Pb2 0.000 0.000 0.000

## Properties
- energy of formation (eV per formula unit) = 0.81
- ΔE to the lowest computed polymorph (eV per atom) = 0.124
- symmetry = No. 127
- total DFT energy (no corrections) (eV per atom) = -1.74

***

A plane-wave DFT calculation with PBE-GGA was carried out for an optimized crystal structure of V2ZnAgIr.

Unit cell a=4.453 b=4.522 c=4.453 alpha=90.00 beta=90.00 gamma=90.00
Element x y z (fractional)
Ag1 0.500 0.500 0.500
Ir1 0.000 0.500 0.000
V1 0.500 0.000 0.000
V2 0.000 0.000 0.500
Zn1 0.000 0.000 0.000

## Properties
- energy of formation (eV per formula unit) = 6.42
- symmetry = No. 123
- total DFT energy (no corrections) (eV per atom) = -4.96

***

A plane-wave DFT calculation with PBE-GGA was carried out for an optimized crystal structure of MnCr3Br.

Unit cell a=4.307 b=4.307 c=4.307 alpha=90.00 beta=90.00 gamma=90.00
Element x y z (fractional)
Mn1 0.000 0.000 0.000
Cr1 0.000 0.000 0.500
Br1 0.500 0.500 0.500
Cr2 0.500 0.000 0.000
Cr3 0.000 0.500 0.000

## Properties
- formation energy without anion corrections (meV/atom) = 1458
- ΔE to the lowest computed polymorph (eV per atom) = 0.000
- symmetry = No. 221
- total DFT energy (no corrections) (eV per atom) = -6.48

***

A plane-wave DFT calculation with PBE-GGA was carried out for an optimized crystal structure of AcTlZn4.

Unit cell a=5.740 b=5.740 c=5.740 alpha=60.00 beta=60.00 gamma=60.00
Element x y z (fractional)
Zn1 0.625 0.625 0.625
Zn2 0.625 0.126 0.625
Ac1 0.250 0.250 0.250
Zn3 0.126 0.625 0.625
Zn4 0.625 0.625 0.126
Tl1 0.000 0.000 0.000

## Properties
- energy of formation (eV per formula unit) = -0.67
- symmetry = No. 216
- total DFT energy (no corrections) (eV per atom) = -2.04

***

A plane-wave DFT calculation with PBE-GGA was carried out for an optimized crystal structure of PmNpPaN3.

Unit cell a=3.418 b=7.030 c=8.550 alpha=87.57 beta=90.00 gamma=90.00
Element x y z (fractional)
Pm1 0.250 0.115 0.162
N1 0.750 0.845 0.136
Np1 0.750 0.798 0.440
N2 0.250 0.155 0.864
N3 0.750 0.392 0.102
N4 0.250 0.884 0.595
Pm2 0.750 0.885 0.838
Pa1 0.250 0.615 0.154
Pa2 0.750 0.385 0.846
N5 0.750 0.116 0.405
N6 0.250 0.608 0.898
Np2 0.250 0.202 0.560

## Properties
- formation energy without anion corrections (meV/atom) = -1158
- symmetry = No. 11
- total DFT energy (no corrections) (eV per atom) = -9.85

***

A plane-wave DFT calculation with PBE-GGA was carried out for an optimized crystal structure of VCd2Te2.

Unit cell a=4.202 b=4.202 c=8.733 alpha=76.08 beta=76.08 gamma=90.00
Element x y z (fractional)
V1 0.000 0.000 0.000
Te1 0.250 0.750 0.500
Cd1 0.586 0.586 0.828
Te2 0.750 0.250 0.500
Cd2 0.414 0.414 0.172

## Properties
- formation energy without anion corrections (meV/atom) = 639
- symmetry = No. 139
- total DFT energy (no corrections) (eV per atom) = -2.81

***

A plane-wave DFT calculation with PBE-GGA was carried out for an optimized crystal structure of MgFePb2.

Unit cell a=4.612 b=4.612 c=10.178 alpha=76.90 beta=76.90 gamma=90.00
Element x y z (fractional)
Pb1 0.643 0.125 0.250
Pb2 0.875 0.893 0.750
Fe1 0.000 0.000 0.000
Mg1 0.500 0.500 0.000
Fe2 0.750 0.250 0.500
Mg2 0.250 0.750 0.500
Pb3 0.107 0.625 0.250
Pb4 0.375 0.357 0.750

## Properties
- energy of formation (eV per formula unit) = 2.09
- symmetry = No. 122
- total DFT energy (no corrections) (eV per atom) = -3.85

***

A plane-wave DFT calculation with PBE-GGA was carried out for an optimized crystal structure of LaNd2Cd2.

Unit cell a=5.551 b=6.713 c=8.620 alpha=90.00 beta=108.78 gamma=90.00
Element x y z (fractional)
Cd1 0.376 0.913 0.752
Nd1 0.202 0.630 0.404
Nd2 0.975 0.781 0.951
La1 0.411 0.414 0.823
Nd3 0.798 0.130 0.596
Cd2 0.624 0.413 0.248
Cd3 0.204 0.128 0.409
La2 0.589 0.914 0.177
Cd4 0.796 0.628 0.591
Nd4 0.025 0.281 0.049

## Properties
- energy of formation (eV per formula unit) = -0.99
- ΔE to the lowest computed polymorph (eV per atom) = 0.058
- symmetry = No. 36
- total DFT energy (no corrections) (eV per atom) = -3.46

***

A plane-wave DFT calculation with PBE-GGA was carried out for an optimized crystal structure of YAgF2.

Unit cell a=7.107 b=7.107 c=7.107 alpha=31.24 beta=31.24 gamma=31.24
Element x y z (fractional)
Y1 0.000 0.000 0.000
F1 0.894 0.894 0.894
Ag1 0.500 0.500 0.500
F2 0.106 0.106 0.106

## Properties
- formation energy without anion corrections (meV/atom) = -1726
- ΔE to the lowest computed polymorph (eV per atom) = 0.510
- symmetry = No. 166
- total DFT energy (no corrections) (eV per atom) = -4.99

***

| no. | density (g cm⁻³) | DOS(E_F) (states/eV per atom) |
| --- | --- | --- |
| 1 | 6.98 | 1.223 |
| 2 | 4.66 | 0.446 |
| 3 | 10.64 | 1.580 |
| 4 | 3.56 | 0.418 |
| 5 | 8.65 | 1.026 |
| 6 | 6.05 | 2.097 |
| 7 | 8.60 | 0.653 |
| 8 | 10.60 | 1.281 |
| 9 | 6.08 | 1.120 |
| 10 | 8.01 | 1.516 |
| 11 | 7.12 | 1.047 |
| 12 | 4.55 | 0.173 |